Record 1
KAgHPd | PBE-GGA | optimized geometry

Unit cell a=3.022 b=6.133 c=6.133 alpha=42.49 beta=90.00 gamma=90.00
Sites, in units of the cell vectors:
1 K 0.000 0.000 0.000
2 Ag 0.500 0.717 0.717
3 H 0.500 0.368 0.368
4 Pd 0.000 0.288 0.288

Output
As for the space group: No. 38. The density comes out at 5.50 g/cm3. The crystal system is orthorhombic. For the spin magnetization, the calculation gives 0.00 μB/f.u. As for the calculated total energy: -3.2241 eV/atom. The value obtained for the density of states at the Fermi level is 0.90 states/eV/cell.

---

Record 2
NiAsRh3 | PBE-GGA | optimized geometry

Unit cell a=4.476 b=4.476 c=4.476 alpha=90.00 beta=90.00 gamma=90.00
Sites, in units of the cell vectors:
1 Ni 0.000 0.000 0.000
2 As 0.500 0.500 0.500
3 Rh 0.000 0.000 0.500
4 Rh 0.000 0.500 0.000
5 Rh 0.500 0.000 0.000

Output
As for the space group: No. 221. The density comes out at 8.19 g/cm3. The value obtained for the formation energy from the elements is 1.07 eV/atom. The crystal system is cubic. For the spin magnetization, the calculation gives 3.27 μB/f.u. For the polymorph energy (0 for the lowest one), the calculation gives 334 meV/atom. As for the calculated total energy: -5.4243 eV/atom. The value obtained for the density of states at the Fermi level is 12.50 states/eV/cell.